(1)
Entry from Alexandria via LeMat-Bulk: a geometry-optimized RbCaHg2Pt structure (PBE).

Computed properties:
As for the space-group type: P4/mmm, No. 123. For the formation energy, the calculation gives -7.79 kcal/mol of atoms. For the electronic total energy, the calculation gives -2.261 eV per atom. The calculation puts the mass density at 7.44 g cm⁻³.

a b c (Å): 5.478 5.478 5.370
angles (deg): 90.00 90.00 90.00
Sites, in units of the cell vectors:
Rb 0.000 0.000 0.000
Ca 0.500 0.500 0.000
Hg 0.000 0.500 0.500
Hg 0.500 0.000 0.500
Pt 0.500 0.500 0.500

(2)
Entry from Alexandria via LeMat-Bulk: a geometry-optimized Ca2HgPtRh structure (PBE).

Computed properties:
As for the space-group type: P4/mmm, No. 123. For the formation energy, the calculation gives 13.20 kcal/mol of atoms. For the electronic total energy, the calculation gives -2.967 eV per atom. The calculation puts the mass density at 6.36 g cm⁻³.

a b c (Å): 5.514 5.514 4.973
angles (deg): 90.00 90.00 90.00
Sites, in units of the cell vectors:
Ca 0.000 0.500 0.000
Ca 0.500 0.000 0.000
Hg 0.000 0.000 0.000
Pt 0.000 0.000 0.500
Rh 0.500 0.500 0.500

(3)
Entry from Alexandria via LeMat-Bulk: a geometry-optimized CaScHgPt structure (PBE).

Computed properties:
As for the space-group type: F-43m, No. 216. For the formation energy, the calculation gives -15.60 kcal/mol of atoms. For the electronic total energy, the calculation gives -4.345 eV per atom. The calculation puts the mass density at 9.30 g cm⁻³.

a b c (Å): 4.952 4.952 4.952
angles (deg): 60.00 60.00 60.00
Sites, in units of the cell vectors:
Ca 0.000 0.000 0.000
Sc 0.500 0.500 0.500
Hg 0.750 0.750 0.750
Pt 0.250 0.250 0.250

(4)
Entry from Alexandria via LeMat-Bulk: a geometry-optimized CaHg2PtSe structure (PBE).

Computed properties:
The calculation puts the energy relative to the elements, uncorrected at -253 meV per atom. As for the space-group type: P4/mmm, No. 123. For the electronic total energy, the calculation gives -2.679 eV per atom. The calculation puts the mass density at 8.36 g cm⁻³.

a b c (Å): 5.193 5.193 5.266
angles (deg): 90.00 90.00 90.00
Sites, in units of the cell vectors:
Ca 0.000 0.000 0.000
Hg 0.000 0.500 0.500
Hg 0.500 0.000 0.500
Pt 0.500 0.500 0.500
Se 0.500 0.500 0.000

(5)
Entry from Alexandria via LeMat-Bulk: a geometry-optimized Ca2SiHgPt structure (PBE).

Computed properties:
The calculation puts the energy relative to the elements, uncorrected at -572 meV per atom. As for the space-group type: P4/mmm, No. 123. For the electronic total energy, the calculation gives -3.726 eV per atom. The calculation puts the mass density at 5.83 g cm⁻³.

a b c (Å): 5.624 5.624 4.541
angles (deg): 90.00 90.00 90.00
Sites, in units of the cell vectors:
Ca 0.000 0.500 0.000
Ca 0.500 0.000 0.000
Si 0.000 0.000 0.500
Hg 0.500 0.500 0.500
Pt 0.000 0.000 0.000

(6)
Entry from Alexandria via LeMat-Bulk: a geometry-optimized CaSnHgPt structure (PBE).

Computed properties:
As for the space-group type: F-43m, No. 216. For the formation energy, the calculation gives -11.41 kcal/mol of atoms. For the electronic total energy, the calculation gives -3.582 eV per atom. The calculation puts the mass density at 10.32 g cm⁻³.

a b c (Å): 5.015 5.015 5.015
angles (deg): 60.00 60.00 60.00
Sites, in units of the cell vectors:
Ca 0.000 0.000 0.000
Sn 0.500 0.500 0.500
Hg 0.750 0.750 0.750
Pt 0.250 0.250 0.250

(7)
Entry from Alexandria via LeMat-Bulk: a geometry-optimized Ca2Sn3HgPt4 structure (PBE).

Computed properties:
As for the space-group type: P-4m2, No. 115. For the formation energy, the calculation gives -15.02 kcal/mol of atoms. For the electronic total energy, the calculation gives -4.699 eV per atom. The calculation puts the mass density at 10.53 g cm⁻³.

a b c (Å): 4.296 4.296 12.107
angles (deg): 90.00 90.00 90.00
Sites, in units of the cell vectors:
Ca 0.000 0.500 0.239
Ca 0.500 0.000 0.761
Sn 0.000 0.000 0.000
Sn 0.000 0.500 0.633
Sn 0.500 0.000 0.367
Hg 0.500 0.500 0.000
Pt 0.000 0.000 0.500
Pt 0.000 0.500 0.848
Pt 0.500 0.000 0.152
Pt 0.500 0.500 0.500

(8)
Entry from Alexandria via LeMat-Bulk: a geometry-optimized SrCaHgPt structure (PBE).

Computed properties:
As for the space-group type: F-43m, No. 216. For the formation energy, the calculation gives -14.42 kcal/mol of atoms. For the electronic total energy, the calculation gives -3.132 eV per atom. The calculation puts the mass density at 8.35 g cm⁻³.

a b c (Å): 5.281 5.281 5.281
angles (deg): 60.00 60.00 60.00
Sites, in units of the cell vectors:
Sr 0.000 0.000 0.000
Ca 0.500 0.500 0.500
Hg 0.750 0.750 0.750
Pt 0.250 0.250 0.250